This record from the Alexandria database describes a geometry-optimized LiFe2O3F structure. The functional is GGA+U.

abc: 7.788 7.788 5.899
angles: 112.11 112.11 64.31
Element x y z (fractional)
1 Li 0.119 0.881 0.500
2 Li 0.135 0.379 0.283
3 Li 0.379 0.135 0.783
4 Li 0.881 0.119 0.000
5 Fe 0.125 0.620 0.900
6 Fe 0.372 0.886 0.156
7 Fe 0.492 0.507 0.262
8 Fe 0.507 0.492 0.762
9 Fe 0.620 0.125 0.400
10 Fe 0.758 0.758 0.037
11 Fe 0.758 0.758 0.537
12 Fe 0.886 0.372 0.656
13 O 0.264 0.740 0.238
14 O 0.381 0.408 0.909
15 O 0.408 0.381 0.409
16 O 0.509 0.988 0.499
17 O 0.509 0.992 0.057
18 O 0.602 0.639 0.131
19 O 0.639 0.602 0.631
20 O 0.740 0.264 0.738
21 O 0.851 0.882 0.393
22 O 0.882 0.851 0.893
23 O 0.988 0.509 0.999
24 O 0.992 0.509 0.557
25 F 0.115 0.140 0.652
26 F 0.140 0.115 0.152
27 F 0.260 0.744 0.779
28 F 0.744 0.260 0.279

Computed properties:
crystal system	monoclinic
E_tot	-5.75	eV/atom